# 1
# KNi2Te | Alexandria | PBE | relaxed
# * energy: -16.36 eV per formula unit
# * spin magnetization: 0.75 Bohr magnetons per cell
# * raw formation energy: -140 meV/atom
data_KNi2Te
_chemical_formula_sum 'K2 Ni4 Te2'
_cell_length_a 7.5130
_cell_length_b 4.3381
_cell_length_c 6.3545
_cell_angle_alpha 90.00
_cell_angle_beta 112.89
_cell_angle_gamma 90.00
_space_group_name_H-M_alt 'C 1 2/m 1'
_space_group_IT_number 12
_space_group_name_Hall '-C 2y'
loop_
_atom_site_label
_atom_site_type_symbol
_atom_site_fract_x
_atom_site_fract_y
_atom_site_fract_z
K1 K 0.0000 0.0000 0.0000
Ni1 Ni 0.1815 0.0000 0.5449
Te1 Te 0.0000 0.5000 0.5000


# 2
# KNi2Te | Alexandria | PBE | relaxed
# * energy: -13.21 eV per formula unit
# * spin magnetization: 4.49 Bohr magnetons per cell
# * raw formation energy: 648 meV/atom
data_KNi2Te
_chemical_formula_sum 'K4 Ni8 Te4'
_cell_length_a 6.8450
_cell_length_b 6.8450
_cell_length_c 6.8450
_cell_angle_alpha 90.00
_cell_angle_beta 90.00
_cell_angle_gamma 90.00
_space_group_name_H-M_alt 'F -4 3 m'
_space_group_IT_number 216
_space_group_name_Hall 'F -4 2 3'
loop_
_atom_site_label
_atom_site_type_symbol
_atom_site_fract_x
_atom_site_fract_y
_atom_site_fract_z
K1 K 0.0000 0.0000 0.0000
Ni1 Ni 0.0000 0.0000 0.5000
Ni2 Ni 0.2500 0.2500 0.7500
Te1 Te 0.2500 0.2500 0.2500


# 3
# K3NiTe | Alexandria | PBE | relaxed
# * energy: -11.97 eV per formula unit
# * relative energy among the computed polymorphs: 0.0 meV/atom
# * spin magnetization: 1.00 Bohr magnetons per cell
# * raw formation energy: 49 meV/atom
data_K3NiTe
_chemical_formula_sum 'K3 Ni1 Te1'
_cell_length_a 6.6217
_cell_length_b 6.6217
_cell_length_c 6.6217
_cell_angle_alpha 90.00
_cell_angle_beta 90.00
_cell_angle_gamma 90.00
_space_group_name_H-M_alt 'P m -3 m'
_space_group_IT_number 221
_space_group_name_Hall '-P 4 2 3'
loop_
_atom_site_label
_atom_site_type_symbol
_atom_site_fract_x
_atom_site_fract_y
_atom_site_fract_z
K1 K 0.0000 0.0000 0.5000
Ni1 Ni 0.5000 0.5000 0.5000
Te1 Te 0.0000 0.0000 0.0000


# 4
# K3Ni5Te12 | Alexandria | PBE | relaxed
# * energy: -73.17 eV per formula unit
# * spin magnetization: 0.00 Bohr magnetons per cell
# * raw formation energy: -163 meV/atom
data_K3Ni5Te12
_chemical_formula_sum 'K24 Ni40 Te96'
_cell_length_a 16.8768
_cell_length_b 16.8768
_cell_length_c 16.8768
_cell_angle_alpha 90.00
_cell_angle_beta 90.00
_cell_angle_gamma 90.00
_space_group_name_H-M_alt 'I a -3 d'
_space_group_IT_number 230
_space_group_name_Hall '-I 4bd 2c 3'
loop_
_atom_site_label
_atom_site_type_symbol
_atom_site_fract_x
_atom_site_fract_y
_atom_site_fract_z
K1 K 0.0000 0.2500 0.1250
Ni1 Ni 0.0000 0.0000 0.0000
Ni2 Ni 0.0000 0.2500 0.3750
Te1 Te 0.0568 0.0577 0.6345


Please write out number 3 again, unchanged.
# K3NiTe | Alexandria | PBE | relaxed
# * energy: -11.97 eV per formula unit
# * relative energy among the computed polymorphs: 0.0 meV/atom
# * spin magnetization: 1.00 Bohr magnetons per cell
# * raw formation energy: 49 meV/atom
data_K3NiTe
_chemical_formula_sum 'K3 Ni1 Te1'
_cell_length_a 6.6217
_cell_length_b 6.6217
_cell_length_c 6.6217
_cell_angle_alpha 90.00
_cell_angle_beta 90.00
_cell_angle_gamma 90.00
_space_group_name_H-M_alt 'P m -3 m'
_space_group_IT_number 221
_space_group_name_Hall '-P 4 2 3'
loop_
_atom_site_label
_atom_site_type_symbol
_atom_site_fract_x
_atom_site_fract_y
_atom_site_fract_z
K1 K 0.0000 0.0000 0.5000
Ni1 Ni 0.5000 0.5000 0.5000
Te1 Te 0.0000 0.0000 0.0000